## w
Here is HoPaIrPt after structural relaxation from Alexandria via LeMat-Bulk. Energies are from PBE-GGA.

M_tot ... 0.00 μB per formula unit
N(E_F) ... 6.269 states/eV per cell
Volume ... 21.003 A^3/atom

Cell lengths 4.916, 4.916, 4.916 Å; angles 60.00, 60.00, 60.00 degrees
Positions (direct):
Ho: 0.500 0.500 0.500
Ir: 0.250 0.250 0.250
Pt: 0.750 0.750 0.750
Pa: 0.000 0.000 0.000



## x
Here is HoPaIrPt after structural relaxation from Alexandria via LeMat-Bulk. Energies are from PBE-GGA.

M_tot ... 0.00 μB per formula unit
N(E_F) ... 3.535 states/eV per cell
Volume ... 21.795 A^3/atom

Cell lengths 3.729, 4.183, 5.892 Å; angles 90.00, 108.44, 90.00 degrees
Positions (direct):
Ho: 0.856 0.500 0.713
Ir: 0.600 0.500 0.200
Pt: 0.411 0.000 0.822
Pa: 0.133 0.000 0.265



The energy of each structure relative to the most stable one, in kJ/mol of atoms, is as follows: w 24.0; x 0.0.



## w
Here is Ho2IrPb after structural relaxation from Alexandria via LeMat-Bulk. Energies are from PBE-GGA.

M_tot ... 0.00 μB per formula unit
N(E_F) ... 1.443 states/eV per cell
Volume ... 24.246 A^3/atom

Cell lengths 3.482, 3.482, 7.998 Å; angles 90.00, 90.00, 90.00 degrees
Positions (direct):
Pb: 0.500 0.500 0.500
Ho: 0.000 0.000 0.204
Ho: 0.000 0.000 0.796
Ir: 0.500 0.500 0.000



## x
Here is Ho2IrPb after structural relaxation from Alexandria via LeMat-Bulk. Energies are from PBE-GGA.

M_tot ... 0.00 μB per formula unit
N(E_F) ... 2.584 states/eV per cell
Volume ... 27.401 A^3/atom

Cell lengths 3.871, 3.871, 8.736 Å; angles 77.20, 77.20, 60.00 degrees
Positions (direct):
Pb: 0.500 0.500 0.500
Ho: 0.270 0.270 0.189
Ho: 0.730 0.730 0.811
Ir: 0.000 0.000 0.000



## y
Here is Ho2IrPb after structural relaxation from Alexandria via LeMat-Bulk. Energies are from PBE-GGA.

M_tot ... 0.00 μB per formula unit
N(E_F) ... 3.715 states/eV per cell
Volume ... 23.639 A^3/atom

Cell lengths 5.114, 5.114, 5.114 Å; angles 60.00, 60.00, 60.00 degrees
Positions (direct):
Ho: 0.250 0.250 0.250
Ho: 0.750 0.750 0.750
Ir: 0.500 0.500 0.500
Pb: 0.000 0.000 0.000



## z
Here is Ho2IrPb after structural relaxation from Alexandria via LeMat-Bulk. Energies are from PBE-GGA.

M_tot ... 0.00 μB per formula unit
N(E_F) ... 1.877 states/eV per cell
Volume ... 23.355 A^3/atom

Cell lengths 3.937, 4.871, 4.871 Å; angles 90.00, 90.00, 90.00 degrees
Positions (direct):
Pb: 0.500 0.000 0.000
Ir: 0.500 0.500 0.500
Ho: 0.000 0.500 0.000
Ho: 0.000 0.000 0.500



The energy of each structure relative to the most stable one, in kJ/mol of atoms, is as follows: w 0.0; x 11.9; y 19.6; z 18.5.



## w
Here is YHoIrPb after structural relaxation from Alexandria via LeMat-Bulk. Energies are from PBE-GGA.

M_tot ... 0.00 μB per formula unit
N(E_F) ... 1.556 states/eV per cell
Volume ... 24.451 A^3/atom

Cell lengths 3.494, 3.494, 8.014 Å; angles 90.00, 90.00, 90.00 degrees
Positions (direct):
Y: 0.500 0.500 0.777
Ir: 0.000 0.000 0.568
Ho: 0.500 0.500 0.367
Pb: 0.000 0.000 0.073



## x
Here is YHoIrPb after structural relaxation from Alexandria via LeMat-Bulk. Energies are from PBE-GGA.

M_tot ... 0.00 μB per formula unit
N(E_F) ... 3.588 states/eV per cell
Volume ... 23.846 A^3/atom

Cell lengths 5.129, 5.129, 5.129 Å; angles 60.00, 60.00, 60.00 degrees
Positions (direct):
Pb: 0.250 0.250 0.250
Ho: 0.500 0.500 0.500
Y: 0.000 0.000 0.000
Ir: 0.750 0.750 0.750



The energy of each structure relative to the most stable one, in kJ/mol of atoms, is as follows: w 0.0; x 18.6.



## w
Here is Ho8IrPd2 after structural relaxation from Alexandria via LeMat-Bulk. Energies are from PBE-GGA.

M_tot ... 0.00 μB per formula unit
N(E_F) ... 12.705 states/eV per cell
Volume ... 27.037 A^3/atom

Cell lengths 5.960, 7.682, 7.682 Å; angles 115.07, 101.10, 101.10 degrees
Positions (direct):
Ho: 0.580 0.089 0.340
Ho: 0.166 0.360 0.360
Ho: 0.812 0.646 0.646
Ho: 0.373 0.665 0.916
Ho: 0.987 0.796 0.207
Ho: 0.373 0.916 0.665
Ho: 0.580 0.340 0.089
Ho: 0.987 0.207 0.796
Ir: 0.159 0.003 0.003
Pd: 0.491 0.700 0.313
Pd: 0.491 0.313 0.700



## x
Here is Ho8IrPd2 after structural relaxation from Alexandria via LeMat-Bulk. Energies are from PBE-GGA.

M_tot ... 0.00 μB per formula unit
N(E_F) ... 12.296 states/eV per cell
Volume ... 25.605 A^3/atom

Cell lengths 5.049, 6.695, 9.006 Å; angles 104.80, 106.28, 90.00 degrees
Positions (direct):
Ir: 0.500 0.000 0.000
Ho: 0.796 0.679 0.593
Ho: 0.664 0.974 0.329
Ho: 0.967 0.209 0.935
Ho: 0.411 0.561 0.822
Ho: 0.589 0.439 0.178
Ho: 0.204 0.321 0.407
Ho: 0.336 0.026 0.671
Ho: 0.033 0.791 0.065
Pd: 0.188 0.724 0.376
Pd: 0.812 0.276 0.624



The energy of each structure relative to the most stable one, in kJ/mol of atoms, is as follows: w 9.5; x 0.0.



## w
Here is HoThIrPd after structural relaxation from Alexandria via LeMat-Bulk. Energies are from PBE-GGA.

M_tot ... 0.00 μB per formula unit
N(E_F) ... 3.241 states/eV per cell
Volume ... 22.933 A^3/atom

Cell lengths 3.853, 4.273, 5.895 Å; angles 90.00, 109.07, 90.00 degrees
Positions (direct):
Ho: 0.141 0.000 0.282
Th: 0.865 0.500 0.731
Pd: 0.590 0.500 0.180
Ir: 0.404 0.000 0.808



## x
Here is HoThIrPd after structural relaxation from Alexandria via LeMat-Bulk. Energies are from PBE-GGA.

M_tot ... 0.00 μB per formula unit
N(E_F) ... 3.800 states/eV per cell
Volume ... 22.193 A^3/atom

Cell lengths 5.007, 5.007, 5.007 Å; angles 60.00, 60.00, 60.00 degrees
Positions (direct):
Ir: 0.000 0.000 0.000
Ho: 0.750 0.750 0.750
Pd: 0.500 0.500 0.500
Th: 0.250 0.250 0.250



The energy of each structure relative to the most stable one, in kJ/mol of atoms, is as follows: w 0.0; x 13.9.



## w
Here is Pm2Ho2Ir3 after structural relaxation from Alexandria via LeMat-Bulk. Energies are from PBE-GGA.

M_tot ... 0.00 μB per formula unit
N(E_F) ... 3.113 states/eV per cell
Volume ... 23.392 A^3/atom

Cell lengths 4.828, 4.826, 8.583 Å; angles 89.98, 106.35, 120.03 degrees
Positions (direct):
Ho: 0.252 0.626 0.878
Ho: 0.748 0.374 0.122
Ir: 0.495 0.748 0.242
Ir: 0.000 0.000 0.000
Ir: 0.505 0.252 0.758
Pm: 0.752 0.876 0.628
Pm: 0.248 0.124 0.372



## x
Here is Pm2Ho2Ir3 after structural relaxation from Alexandria via LeMat-Bulk. Energies are from PBE-GGA.

M_tot ... 0.00 μB per formula unit
N(E_F) ... 2.930 states/eV per cell
Volume ... 26.000 A^3/atom

Cell lengths 4.455, 5.963, 7.483 Å; angles 98.57, 89.93, 111.96 degrees
Positions (direct):
Ir: 0.190 0.379 0.737
Ir: 0.000 0.000 0.000
Ir: 0.810 0.621 0.263
Pm: 0.865 0.728 0.645
Pm: 0.135 0.272 0.355
Ho: 0.360 0.720 0.063
Ho: 0.640 0.280 0.937



The energy of each structure relative to the most stable one, in kJ/mol of atoms, is as follows: w 0.0; x 13.3.



## w
Here is PmHoIr2 after structural relaxation from Alexandria via LeMat-Bulk. Energies are from PBE-GGA.

M_tot ... 0.00 μB per formula unit
N(E_F) ... 2.409 states/eV per cell
Volume ... 20.867 A^3/atom

Cell lengths 4.905, 4.905, 4.905 Å; angles 60.00, 60.00, 60.00 degrees
Positions (direct):
Ir: 0.750 0.750 0.750
Ir: 0.250 0.250 0.250
Ho: 0.500 0.500 0.500
Pm: 0.000 0.000 0.000



## x
Here is PmHoIr2 after structural relaxation from Alexandria via LeMat-Bulk. Energies are from PBE-GGA.

M_tot ... 0.00 μB per formula unit
N(E_F) ... 5.055 states/eV per cell
Volume ... 20.832 A^3/atom

Cell lengths 3.339, 4.990, 10.004 Å; angles 90.00, 90.00, 90.00 degrees
Positions (direct):
Pm: 0.500 0.250 0.873
Pm: 0.500 0.750 0.127
Ir: 0.000 0.250 0.619
Ir: 0.000 0.750 0.381
Ir: 0.000 0.250 0.134
Ir: 0.000 0.750 0.866
Ho: 0.500 0.750 0.622
Ho: 0.500 0.250 0.378



The energy of each structure relative to the most stable one, in kJ/mol of atoms, is as follows: w 0.5; x 0.0.



## w
Here is Pm2HoIr2 after structural relaxation from Alexandria via LeMat-Bulk. Energies are from PBE-GGA.

M_tot ... 0.00 μB per formula unit
N(E_F) ... 7.331 states/eV per cell
Volume ... 26.196 A^3/atom

Cell lengths 6.240, 7.839, 7.333 Å; angles 122.31, 115.18, 90.00 degrees
Positions (direct):
Pm: 0.340 0.975 0.680
Pm: 0.840 0.706 0.680
Pm: 0.660 0.025 0.320
Pm: 0.160 0.294 0.320
Ir: 0.904 0.139 0.808
Ir: 0.096 0.861 0.192
Ir: 0.596 0.331 0.192
Ir: 0.404 0.669 0.808
Ho: 0.750 0.500 0.000
Ho: 0.250 0.500 0.000



## x
Here is Pm2HoIr2 after structural relaxation from Alexandria via LeMat-Bulk. Energies are from PBE-GGA.

M_tot ... 0.00 μB per formula unit
N(E_F) ... 6.038 states/eV per cell
Volume ... 24.964 A^3/atom

Cell lengths 4.917, 4.871, 10.424 Å; angles 90.00, 89.94, 90.00 degrees
Positions (direct):
Ho: 0.749 0.250 0.159
Ho: 0.251 0.750 0.841
Ir: 0.750 0.750 0.994
Ir: 0.250 0.250 0.006
Ir: 0.251 0.250 0.663
Ir: 0.749 0.750 0.337
Pm: 0.249 0.750 0.169
Pm: 0.750 0.250 0.497
Pm: 0.751 0.250 0.831
Pm: 0.250 0.750 0.503



The energy of each structure relative to the most stable one, in kJ/mol of atoms, is as follows: w 8.0; x 0.0.